InCuTe2 | GGA-PBE | relaxed

Summary:
DFT total energy, eV/atom: -3.308

```
data_InCuTe2
_cell_length_a 4.621
_cell_length_b 3.996
_cell_length_c 6.729
_cell_angle_alpha 90.00
_cell_angle_beta 90.36
_cell_angle_gamma 90.00
_space_group_name_H-M_alt 'P 1 2/m 1'
_space_group_IT_number 10
loop_
_space_group_symop_operation_xyz
'x,y,z'
'-x,-y,-z'
'-x,y,-z'
'x,-y,z'
loop_
_atom_site_label
_atom_site_type_symbol
_atom_site_fract_x
_atom_site_fract_y
_atom_site_fract_z
_atom_site_occupancy
In1 In 0.000 0.000 0.000 1
Cu1 Cu 0.500 0.000 0.500 1
Te1 Te 0.489 0.500 0.257 1
```